(1)
The following is a PBE calculation of a relaxed structure of Nd4Y15Mg, from Alexandria via LeMat-Bulk.

Cell lengths 5.067, 5.067, 25.335 Å; angles 90.00, 90.00, 90.00 degrees
Sites, in units of the cell vectors:
Nd1 0.000 0.000 0.101
Nd2 0.000 0.000 0.302
Nd3 0.000 0.000 0.698
Nd4 0.000 0.000 0.899
Y1 0.000 0.500 0.000
Y2 0.000 0.500 0.202
Y3 0.000 0.500 0.403
Y4 0.000 0.500 0.597
Y5 0.000 0.500 0.798
Y6 0.500 0.000 0.000
Y7 0.500 0.000 0.202
Y8 0.500 0.000 0.403
Y9 0.500 0.000 0.597
Y10 0.500 0.000 0.798
Y11 0.500 0.500 0.101
Y12 0.500 0.500 0.305
Y13 0.500 0.500 0.500
Y14 0.500 0.500 0.695
Y15 0.500 0.500 0.899
Mg1 0.000 0.000 0.500

## Properties
As for the space-group type: P4/mmm, No. 123. The energy of formation comes out at 2.1 kJ/mol of atoms.

(2)
The following is a PBE calculation of a relaxed structure of KSrBi2O5, from Alexandria via LeMat-Bulk.

Cell lengths 4.438, 4.438, 7.795 Å; angles 90.00, 90.00, 90.00 degrees
Sites, in units of the cell vectors:
K1 0.000 0.000 0.000
Sr1 0.000 0.000 0.500
Bi1 0.500 0.500 0.230
Bi2 0.500 0.500 0.770
O1 0.000 0.500 0.253
O2 0.000 0.500 0.747
O3 0.500 0.000 0.253
O4 0.500 0.000 0.747
O5 0.500 0.500 0.500

## Properties
Its uncorrected formation energy is -1.523 eV/atom. As for the space-group type: P4/mmm, No. 123.

(3)
The following is a PBE calculation of a relaxed structure of SrNdSm, from Alexandria via LeMat-Bulk.

Cell lengths 8.647, 8.647, 8.647 Å; angles 154.63, 154.63, 36.19 degrees
Sites, in units of the cell vectors:
Sr1 0.000 0.000 0.000
Nd1 0.680 0.680 0.000
Sm1 0.322 0.322 0.000

## Properties
Its distance to the lowest polymorph of the same formula is 0.0 meV per atom. As for the space-group type: I4mm, No. 107. The energy of formation comes out at 8.6 kJ/mol of atoms.

(4)
The following is a PBE calculation of a relaxed structure of DyEr8Cd6, from Alexandria via LeMat-Bulk.

Cell lengths 8.156, 8.156, 8.156 Å; angles 66.17, 66.17, 66.17 degrees
Sites, in units of the cell vectors:
Dy1 0.000 0.000 0.000
Er1 0.116 0.449 0.783
Er2 0.217 0.884 0.551
Er3 0.334 0.334 0.334
Er4 0.449 0.783 0.116
Er5 0.551 0.217 0.884
Er6 0.666 0.666 0.666
Er7 0.783 0.116 0.449
Er8 0.884 0.551 0.217
Cd1 0.052 0.718 0.387
Cd2 0.282 0.613 0.948
Cd3 0.387 0.052 0.718
Cd4 0.613 0.948 0.282
Cd5 0.718 0.387 0.052
Cd6 0.948 0.282 0.613

## Properties
As for the space-group type: R-3, No. 148. The energy of formation comes out at -5.7 kJ/mol of atoms.

(5)
The following is a PBE calculation of a relaxed structure of SrCaPt2, from Alexandria via LeMat-Bulk.

Cell lengths 4.983, 4.983, 4.983 Å; angles 60.00, 60.00, 60.00 degrees
Sites, in units of the cell vectors:
Sr1 0.000 0.000 0.000
Ca1 0.250 0.250 0.250
Pt1 0.500 0.500 0.500
Pt2 0.750 0.750 0.750

## Properties
Its distance to the lowest polymorph of the same formula is 340.4 meV per atom. As for the space-group type: F-43m, No. 216. The energy of formation comes out at -46.6 kJ/mol of atoms.

(6)
The following is a PBE calculation of a relaxed structure of HoPuCdOs, from Alexandria via LeMat-Bulk.

Cell lengths 3.294, 3.294, 8.450 Å; angles 90.00, 90.00, 90.00 degrees
Sites, in units of the cell vectors:
Ho1 0.000 0.000 0.000
Pu1 0.000 0.000 0.587
Cd1 0.500 0.500 0.290
Os1 0.500 0.500 0.793

## Properties
Its distance to the lowest polymorph of the same formula is 0.0 meV per atom. As for the space-group type: P4mm, No. 99. The energy of formation comes out at -16.4 kJ/mol of atoms.

(7)
The following is a PBE calculation of a relaxed structure of CsP2SCl, from Alexandria via LeMat-Bulk.

Cell lengths 4.588, 4.588, 8.247 Å; angles 90.00, 90.00, 90.00 degrees
Sites, in units of the cell vectors:
Cs1 0.000 0.000 0.000
P1 0.000 0.500 0.500
P2 0.500 0.000 0.500
S1 0.500 0.500 0.500
Cl1 0.500 0.500 0.000

## Properties
Its uncorrected formation energy is 0.043 eV/atom. Its distance to the lowest polymorph of the same formula is 0.0 meV per atom. As for the space-group type: P4/mmm, No. 123.

(8)
The following is a PBE calculation of a relaxed structure of V3AuBr, from Alexandria via LeMat-Bulk.

Cell lengths 5.007, 5.007, 5.007 Å; angles 90.00, 90.00, 90.00 degrees
Sites, in units of the cell vectors:
V1 0.000 0.000 0.500
V2 0.000 0.500 0.000
V3 0.500 0.000 0.000
Au1 0.000 0.000 0.000
Br1 0.500 0.500 0.500

## Properties
Its uncorrected formation energy is 1.268 eV/atom. Its distance to the lowest polymorph of the same formula is 320.4 meV per atom. As for the space-group type: Pm-3m, No. 221.